Entry 1:
CaPuPH | PBE | optimized geometry Values from VASP.

Geometry as Quantum ESPRESSO input:
```
&SYSTEM
  ibrav = 0, nat = 4, ntyp = 4
/
ATOMIC_SPECIES
P 30.97 P.upf
Ca 40.08 Ca.upf
H 1.01 H.upf
Pu 244.00 Pu.upf
CELL_PARAMETERS angstrom
4.751 0.000 0.000
2.375 4.114 0.000
2.375 1.371 3.879
ATOMIC_POSITIONS crystal
P 0.250 0.250 0.250
Ca 0.000 0.000 0.000
H 0.750 0.750 0.750
Pu 0.500 0.500 0.500
```

Calculated values
The value obtained for the total energy is -27.27 eV per cell. As for the spin magnetization: 6.0 Bohr magnetons per cell.

Entry 2:
PmEr8Pb2 | PBE | optimized geometry Values from VASP.

Geometry as Quantum ESPRESSO input:
```
&SYSTEM
  ibrav = 0, nat = 11, ntyp = 3
/
ATOMIC_SPECIES
Pm 145.00 Pm.upf
Er 167.26 Er.upf
Pb 207.20 Pb.upf
CELL_PARAMETERS angstrom
5.690 -0.353 -0.530
-1.430 8.564 -0.752
-1.430 -3.992 7.614
ATOMIC_POSITIONS crystal
Pm 0.500 0.000 0.000
Er 0.877 0.903 0.678
Er 0.877 0.678 0.903
Er 0.297 0.591 0.591
Er 0.500 0.781 0.219
Er 0.500 0.219 0.781
Er 0.703 0.409 0.409
Er 0.123 0.322 0.097
Er 0.123 0.097 0.322
Pb 0.000 0.305 0.695
Pb 0.000 0.695 0.305
```

Calculated values
The value obtained for the total energy is -49.28 eV per cell. As for the formation energy: -0.056 eV/atom. As for the spin magnetization: 0.0 Bohr magnetons per cell.

Entry 3:
Tm7Tl2C | PBE | optimized geometry Values from VASP.

Geometry as Quantum ESPRESSO input:
```
&SYSTEM
  ibrav = 0, nat = 10, ntyp = 3
/
ATOMIC_SPECIES
Tm 168.93 Tm.upf
Tl 204.38 Tl.upf
C 12.01 C.upf
CELL_PARAMETERS angstrom
7.277 0.000 0.000
3.638 6.302 0.000
3.638 2.101 5.941
ATOMIC_POSITIONS crystal
Tm 0.500 0.500 0.500
Tm 0.229 0.771 0.771
Tm 0.229 0.771 0.229
Tm 0.771 0.229 0.771
Tm 0.771 0.771 0.229
Tm 0.229 0.229 0.771
Tm 0.771 0.229 0.229
Tl 0.250 0.250 0.250
Tl 0.750 0.750 0.750
C 0.000 0.000 0.000
```

Calculated values
The value obtained for the total energy is -42.66 eV per cell. As for the formation energy: 0.260 eV/atom. As for the spin magnetization: 0.0 Bohr magnetons per cell.

Which value of spin magnetization does entry 3 give?
0.0 Bohr magnetons per cell

Repeat the first record exactly.
CaPuPH | PBE | optimized geometry Values from VASP.

Geometry as Quantum ESPRESSO input:
```
&SYSTEM
  ibrav = 0, nat = 4, ntyp = 4
/
ATOMIC_SPECIES
P 30.97 P.upf
Ca 40.08 Ca.upf
H 1.01 H.upf
Pu 244.00 Pu.upf
CELL_PARAMETERS angstrom
4.751 0.000 0.000
2.375 4.114 0.000
2.375 1.371 3.879
ATOMIC_POSITIONS crystal
P 0.250 0.250 0.250
Ca 0.000 0.000 0.000
H 0.750 0.750 0.750
Pu 0.500 0.500 0.500
```

Calculated values
The value obtained for the total energy is -27.27 eV per cell. As for the spin magnetization: 6.0 Bohr magnetons per cell.

Among the records above, which one has the highest spin magnetization?
CaPuPH